ErLuHg2 at its PBEsol-relaxed geometry. Source: the Alexandria database, functional SCAN.

Lattice parameters (Å, degrees): 7.206 7.206 7.206 90.00 90.00 90.00
Space group Fm-3m (No. 225)
One atom of each set of equivalent atoms:
Er1 0.000 0.000 0.000 (multiplicity 4)
Lu1 0.000 0.000 0.500 (multiplicity 4)
Hg1 0.250 0.250 0.250 (multiplicity 8)

Output
As for the total energy: -244.8 eV per formula unit. For the calculated formation energy, the calculation gives -700 meV/atom. For the total moment, the calculation gives 0.000 μB/atom.

=====

ErMgHg2 at its PBEsol-relaxed geometry. Source: the Alexandria database, functional SCAN.

Lattice parameters (Å, degrees): 7.018 7.018 7.018 90.00 90.00 90.00
Space group Fm-3m (No. 225)
One atom of each set of equivalent atoms:
Er1 0.000 0.000 0.000 (multiplicity 4)
Mg1 0.000 0.000 0.500 (multiplicity 4)
Hg1 0.250 0.250 0.250 (multiplicity 8)

Output
As for the total energy: -194.2 eV per formula unit. For the calculated formation energy, the calculation gives -644 meV/atom. For the total moment, the calculation gives 0.000 μB/atom.

=====

TbErHg2 at its PBEsol-relaxed geometry. Source: the Alexandria database, functional SCAN.

Lattice parameters (Å, degrees): 7.290 7.290 7.290 90.00 90.00 90.00
Space group Fm-3m (No. 225)
One atom of each set of equivalent atoms:
Tb1 0.000 0.000 0.000 (multiplicity 4)
Er1 0.000 0.000 0.500 (multiplicity 4)
Hg1 0.250 0.250 0.250 (multiplicity 8)

Output
As for the total energy: -236.3 eV per formula unit. For the calculated formation energy, the calculation gives -707 meV/atom. For the total moment, the calculation gives 0.000 μB/atom.

=====

Er2TlHg at its PBEsol-relaxed geometry. Source: the Alexandria database, functional SCAN.

Lattice parameters (Å, degrees): 7.316 7.316 7.316 90.00 90.00 90.00
Space group Fm-3m (No. 225)
One atom of each set of equivalent atoms:
Er1 0.250 0.250 0.250 (multiplicity 8)
Tl1 0.000 0.000 0.000 (multiplicity 4)
Hg1 0.000 0.000 0.500 (multiplicity 4)

Output
As for the total energy: -243.6 eV per formula unit. For the calculated formation energy, the calculation gives -603 meV/atom. For the total moment, the calculation gives 0.001 μB/atom.

=====

ErTmHg2 at its PBEsol-relaxed geometry. Source: the Alexandria database, functional SCAN.

Lattice parameters (Å, degrees): 7.232 7.232 7.232 90.00 90.00 90.00
Space group Fm-3m (No. 225)
One atom of each set of equivalent atoms:
Er1 0.000 0.000 0.000 (multiplicity 4)
Tm1 0.000 0.000 0.500 (multiplicity 4)
Hg1 0.250 0.250 0.250 (multiplicity 8)

Output
As for the total energy: -241.3 eV per formula unit. For the calculated formation energy, the calculation gives -706 meV/atom. For the total moment, the calculation gives 0.000 μB/atom.

=====

YErHg2 at its PBEsol-relaxed geometry. Source: the Alexandria database, functional SCAN.

Lattice parameters (Å, degrees): 7.285 7.285 7.285 90.00 90.00 90.00
Space group Fm-3m (No. 225)
One atom of each set of equivalent atoms:
Y1 0.000 0.000 0.000 (multiplicity 4)
Er1 0.000 0.000 0.500 (multiplicity 4)
Hg1 0.250 0.250 0.250 (multiplicity 8)

Output
As for the total energy: -217.5 eV per formula unit. For the calculated formation energy, the calculation gives -740 meV/atom. For the total moment, the calculation gives 0.000 μB/atom.

=====

HoErIn2 at its PBEsol-relaxed geometry. Source: the Alexandria database, functional SCAN.

Lattice parameters (Å, degrees): 7.339 7.339 7.339 90.00 90.00 90.00
Space group Fm-3m (No. 225)
One atom of each set of equivalent atoms:
Ho1 0.000 0.000 0.000 (multiplicity 4)
Er1 0.000 0.000 0.500 (multiplicity 4)
In1 0.250 0.250 0.250 (multiplicity 8)

Output
As for the total energy: -168.5 eV per formula unit. For the calculated formation energy, the calculation gives -597 meV/atom. For the total moment, the calculation gives 0.000 μB/atom.

=====

HoErMg2 at its PBEsol-relaxed geometry. Source: the Alexandria database, functional SCAN.

Lattice parameters (Å, degrees): 7.438 7.438 7.438 90.00 90.00 90.00
Space group Fm-3m (No. 225)
One atom of each set of equivalent atoms:
Ho1 0.000 0.000 0.000 (multiplicity 4)
Er1 0.000 0.000 0.500 (multiplicity 4)
Mg1 0.250 0.250 0.250 (multiplicity 8)

Output
As for the total energy: -109.5 eV per formula unit. For the calculated formation energy, the calculation gives -60 meV/atom. For the total moment, the calculation gives 0.007 μB/atom.

=====

HoErO3 at its PBEsol-relaxed geometry. Source: the Alexandria database, functional SCAN.

Lattice parameters (Å, degrees): 6.2948 6.2948 12.4673 90.00 90.00 120.00
Space group P6_3cm (No. 185)
One atom of each set of equivalent atoms:
Ho1 0.0000 0.0000 0.0000 (multiplicity 2)
Ho2 0.3333 0.6667 0.0355 (multiplicity 4)
Er1 0.0000 0.3331 0.2695 (multiplicity 6)
O1 0.0000 0.0000 0.3059 (multiplicity 2)
O2 0.0000 0.3035 0.0955 (multiplicity 6)
O3 0.0000 0.3667 0.4418 (multiplicity 6)
O4 0.3333 0.6667 0.2386 (multiplicity 4)

Output
As for the total energy: -137.4 eV per formula unit. For the total moment, the calculation gives 0.000 μB/atom. The value obtained for the uncorrected formation energy is -373.7 kJ per mole of atoms.

=====

HoErPd2 at its PBEsol-relaxed geometry. Source: the Alexandria database, functional SCAN.

Lattice parameters (Å, degrees): 6.854 6.854 6.854 90.00 90.00 90.00
Space group Fm-3m (No. 225)
One atom of each set of equivalent atoms:
Ho1 0.000 0.000 0.000 (multiplicity 4)
Er1 0.000 0.000 0.500 (multiplicity 4)
Pd1 0.250 0.250 0.250 (multiplicity 8)

Output
As for the total energy: -168.9 eV per formula unit. For the calculated formation energy, the calculation gives -1016 meV/atom. For the total moment, the calculation gives 0.000 μB/atom.

=====

HoErZn2 at its PBEsol-relaxed geometry. Source: the Alexandria database, functional SCAN.

Lattice parameters (Å, degrees): 6.960 6.960 6.960 90.00 90.00 90.00
Space group Fm-3m (No. 225)
One atom of each set of equivalent atoms:
Ho1 0.000 0.000 0.000 (multiplicity 4)
Er1 0.000 0.000 0.500 (multiplicity 4)
Zn1 0.250 0.250 0.250 (multiplicity 8)

Output
As for the total energy: -128.1 eV per formula unit. For the calculated formation energy, the calculation gives -428 meV/atom. For the total moment, the calculation gives 0.002 μB/atom.

=====

Er6I7 at its PBEsol-relaxed geometry. Source: the Alexandria database, functional SCAN.

Lattice parameters (Å, degrees): 22.077 3.907 11.761 90.00 115.37 90.00
Space group C2/m (No. 12)
One atom of each set of equivalent atoms:
Er1 0.106 0.000 0.190 (multiplicity 4)
Er2 0.182 0.500 0.464 (multiplicity 4)
Er3 0.248 0.500 0.250 (multiplicity 4)
I1 0.000 0.500 0.000 (multiplicity 2)
I2 0.052 0.000 0.375 (multiplicity 4)
I3 0.138 0.500 0.689 (multiplicity 4)
I4 0.177 0.000 0.025 (multiplicity 4)

Output
As for the total energy: -572.6 eV per formula unit. For the total moment, the calculation gives 0.064 μB/atom. The value obtained for the uncorrected formation energy is -99.3 kJ per mole of atoms.